Dy3Er8Tm2 | the Alexandria database | PBE | relaxed; formation enthalpy at 0 K = 0.2441 eV/atom; ΔE to the lowest computed polymorph = 221 meV/atom
1.0
9.9483 -3.7724 0.0000
9.9483 3.7724 0.0000
-0.0027 0.0000 5.5413
Dy Er Tm
3 8 2
direct
0.0000 0.0000 0.0000
0.2857 0.7143 0.5000
0.7143 0.2857 0.5000
0.1336 0.1336 0.4998
0.1795 0.6021 0.9997
0.3310 0.3310 0.4993
0.3979 0.8205 0.0003
0.6021 0.1795 0.9997
0.6690 0.6690 0.5007
0.8205 0.3979 0.0003
0.8664 0.8664 0.5002
0.2412 0.2412 0.9992
0.7588 0.7588 0.0008